1.
Entry from Alexandria via LeMat-Bulk: an optimized crystal structure of LiIn2Hg4 (GGA-PBE).

As for the crystal system: monoclinic. The calculated density comes out at 9.927 g/cm³. As for the volume: 174 Å³ per cell. The calculation puts the formation enthalpy at 0 K at -7.8 kJ per mole of atoms. The calculation puts the energy above the most stable polymorph in this dataset at 0.023 eV/atom.

```
LiIn2Hg4
1.0
7.637 -1.778 0.000
7.637 1.778 0.000
-3.454 0.000 6.398
Li In Hg
1 2 4
Direct
0.000 0.000 0.000
0.228 0.228 0.199
0.772 0.772 0.801
0.086 0.086 0.731
0.397 0.397 0.649
0.603 0.603 0.351
0.914 0.914 0.269
```

2.
Entry from Alexandria via LeMat-Bulk: an optimized crystal structure of Li2InHg8 (GGA-PBE).

As for the crystal system: triclinic. The calculated density comes out at 10.986 g/cm³. As for the volume: 262 Å³ per cell. The calculation puts the formation enthalpy at 0 K at -12.1 kJ per mole of atoms. The calculation puts the energy above the most stable polymorph in this dataset at 0.000 eV/atom.

```
Li2InHg8
1.0
5.191 0.000 0.000
-0.882 7.619 0.000
-2.456 -3.501 6.625
Li In Hg
2 1 8
Direct
0.243 0.345 0.053
0.757 0.655 0.947
0.000 0.000 0.500
0.137 0.466 0.729
0.167 0.915 0.865
0.366 0.781 0.209
0.487 0.277 0.406
0.513 0.723 0.594
0.634 0.219 0.791
0.833 0.085 0.135
0.863 0.534 0.271
```

3.
Entry from Alexandria via LeMat-Bulk: an optimized crystal structure of Li3In4Hg (GGA-PBE).

As for the crystal system: monoclinic. The calculated density comes out at 6.572 g/cm³. As for the volume: 172 Å³ per cell. The calculation puts the formation enthalpy at 0 K at -19.1 kJ per mole of atoms. The calculation puts the energy above the most stable polymorph in this dataset at 0.000 eV/atom.

```
Li3In4Hg
1.0
10.915 -1.699 0.000
10.915 1.699 0.000
-1.028 0.000 4.638
Li In Hg
3 4 1
Direct
0.000 0.000 0.000
0.105 0.105 0.605
0.895 0.895 0.395
0.279 0.279 0.279
0.383 0.383 0.883
0.617 0.617 0.117
0.721 0.721 0.721
0.500 0.500 0.500
```

4.
Entry from Alexandria via LeMat-Bulk: an optimized crystal structure of LiIn6Hg2 (GGA-PBE).

As for the crystal system: hexagonal. The calculated density comes out at 7.851 g/cm³. As for the volume: 232 Å³ per cell. The calculation puts the formation enthalpy at 0 K at -1.9 kJ per mole of atoms. The calculation puts the energy above the most stable polymorph in this dataset at 0.024 eV/atom.

```
LiIn6Hg2
1.0
3.312 0.000 0.000
-1.656 2.868 0.000
0.000 0.000 24.424
Li In Hg
1 6 2
Direct
0.000 0.000 0.000
0.000 0.000 0.205
0.000 0.000 0.435
0.000 0.000 0.565
0.000 0.000 0.795
0.333 0.667 0.095
0.333 0.667 0.905
0.333 0.667 0.320
0.333 0.667 0.680
```

5.
Entry from Alexandria via LeMat-Bulk: an optimized crystal structure of Li2In14Hg9 (GGA-PBE).

As for the crystal system: trigonal. The calculated density comes out at 7.866 g/cm³. As for the volume: 723 Å³ per cell. The calculation puts the formation enthalpy at 0 K at 1.1 kJ per mole of atoms.

```
Li2In14Hg9
1.0
8.297 0.000 0.000
-4.148 7.185 0.000
0.000 0.000 12.134
Li In Hg
2 14 9
Direct
0.333 0.667 0.252
0.667 0.333 0.748
0.000 0.000 0.253
0.000 0.000 0.747
0.001 0.680 0.422
0.004 0.667 0.912
0.320 0.001 0.578
0.320 0.320 0.422
0.333 0.336 0.912
0.336 0.004 0.088
0.664 0.996 0.912
0.667 0.664 0.088
0.680 0.680 0.578
0.680 0.999 0.422
0.996 0.333 0.088
0.999 0.320 0.578
0.000 0.000 0.000
0.006 0.646 0.673
0.333 0.667 0.003
0.354 0.360 0.673
0.360 0.006 0.327
0.640 0.994 0.673
0.646 0.640 0.327
0.667 0.333 0.997
0.994 0.354 0.327
```

6.
Entry from Alexandria via LeMat-Bulk: an optimized crystal structure of LiIn5Hg3 (GGA-PBE).

As for the crystal system: monoclinic. The calculated density comes out at 7.536 g/cm³. As for the volume: 521 Å³ per cell. The calculation puts the formation enthalpy at 0 K at 3.8 kJ per mole of atoms.

```
LiIn5Hg3
1.0
5.746 -4.522 0.000
5.746 4.522 0.000
-2.078 0.000 10.030
Li In Hg
2 10 6
Direct
0.117 0.117 0.269
0.883 0.883 0.731
0.070 0.698 0.240
0.267 0.267 0.062
0.302 0.930 0.760
0.315 0.685 0.000
0.454 0.454 0.341
0.546 0.546 0.659
0.685 0.315 0.000
0.698 0.070 0.240
0.733 0.733 0.938
0.930 0.302 0.760
0.000 0.000 0.000
0.000 0.000 0.500
0.266 0.266 0.504
0.339 0.339 0.797
0.661 0.661 0.203
0.734 0.734 0.496
```

7.
Entry from Alexandria via LeMat-Bulk: an optimized crystal structure of LiIn2Hg3 (GGA-PBE).

As for the crystal system: orthorhombic. The calculated density comes out at 8.926 g/cm³. As for the volume: 156 Å³ per cell. The calculation puts the formation enthalpy at 0 K at -3.3 kJ per mole of atoms. The calculation puts the energy above the most stable polymorph in this dataset at 0.080 eV/atom.

```
LiIn2Hg3
1.0
-1.708 2.728 8.367
1.708 -2.728 8.367
1.708 2.728 -8.367
Li In Hg
1 2 3
Direct
0.000 0.000 0.000
0.345 0.345 0.000
0.655 0.655 0.000
0.165 0.165 0.000
0.500 0.000 0.500
0.835 0.835 0.000
```

8.
Entry from Alexandria via LeMat-Bulk: an optimized crystal structure of LiIn4Hg2 (GGA-PBE).

As for the crystal system: monoclinic. The calculated density comes out at 8.126 g/cm³. As for the volume: 355 Å³ per cell. The calculation puts the formation enthalpy at 0 K at -5.1 kJ per mole of atoms. The calculation puts the energy above the most stable polymorph in this dataset at 0.025 eV/atom.

```
LiIn4Hg2
1.0
8.074 0.000 0.000
0.000 5.964 0.000
-3.439 0.000 7.362
Li In Hg
2 8 4
Direct
0.231 0.250 0.488
0.769 0.750 0.512
0.056 0.250 0.078
0.284 0.001 0.854
0.284 0.499 0.854
0.348 0.750 0.254
0.652 0.250 0.746
0.716 0.501 0.146
0.716 0.999 0.146
0.944 0.750 0.922
0.081 0.750 0.438
0.478 0.250 0.320
0.522 0.750 0.680
0.919 0.250 0.562
```

9.
Entry from Alexandria via LeMat-Bulk: an optimized crystal structure of Li6In5Hg (GGA-PBE).

As for the crystal system: monoclinic. The calculated density comes out at 5.846 g/cm³. As for the volume: 232 Å³ per cell. The calculation puts the formation enthalpy at 0 K at -28.3 kJ per mole of atoms.

```
Li6In5Hg
1.0
4.891 0.000 0.000
0.000 6.465 0.000
-2.421 0.000 7.334
Li In Hg
6 5 1
Direct
0.000 0.239 0.000
0.000 0.761 0.000
0.341 0.248 0.674
0.341 0.752 0.674
0.659 0.248 0.326
0.659 0.752 0.326
0.162 0.500 0.331
0.169 0.000 0.344
0.500 0.500 0.000
0.831 0.000 0.656
0.838 0.500 0.669
0.500 0.000 0.000
```

10.
Entry from Alexandria via LeMat-Bulk: an optimized crystal structure of Li7In3Hg2 (GGA-PBE).

As for the crystal system: orthorhombic. The calculated density comes out at 5.409 g/cm³. As for the volume: 244 Å³ per cell. The calculation puts the formation enthalpy at 0 K at -18.1 kJ per mole of atoms.

```
Li7In3Hg2
1.0
2.396 -10.574 0.000
2.396 10.574 0.000
0.000 0.000 4.811
Li In Hg
7 3 2
Direct
0.000 0.000 0.000
0.076 0.924 0.500
0.279 0.721 0.000
0.423 0.577 0.000
0.577 0.423 0.000
0.721 0.279 0.000
0.924 0.076 0.500
0.344 0.656 0.500
0.500 0.500 0.500
0.656 0.344 0.500
0.146 0.854 0.000
0.854 0.146 0.000
```

11.
Entry from Alexandria via LeMat-Bulk: an optimized crystal structure of Li3In2Hg2 (GGA-PBE).

As for the crystal system: triclinic. The calculated density comes out at 7.522 g/cm³. As for the volume: 144 Å³ per cell. The calculation puts the formation enthalpy at 0 K at -25.8 kJ per mole of atoms.

```
Li3In2Hg2
1.0
4.702 0.000 0.000
2.340 4.101 0.000
2.340 1.214 7.460
Li In Hg
3 2 2
Direct
0.000 0.000 0.000
0.259 0.264 0.209
0.741 0.736 0.791
0.135 0.132 0.601
0.865 0.868 0.399
0.395 0.390 0.829
0.605 0.610 0.171
```

12.
Entry from Alexandria via LeMat-Bulk: an optimized crystal structure of Li6InHg3 (GGA-PBE).

As for the crystal system: monoclinic. The calculated density comes out at 6.909 g/cm³. As for the volume: 364 Å³ per cell. The calculation puts the formation enthalpy at 0 K at -31.4 kJ per mole of atoms.

```
Li6InHg3
1.0
8.184 0.000 0.000
0.000 4.704 0.000
-3.030 0.000 9.468
Li In Hg
12 2 6
Direct
0.041 0.250 0.403
0.143 0.750 0.192
0.240 0.250 0.992
0.336 0.750 0.792
0.349 0.250 0.298
0.439 0.250 0.600
0.561 0.750 0.400
0.651 0.750 0.702
0.664 0.250 0.208
0.760 0.750 0.008
0.857 0.250 0.808
0.959 0.750 0.597
0.451 0.750 0.097
0.549 0.250 0.903
0.035 0.750 0.892
0.148 0.250 0.696
0.266 0.750 0.490
0.734 0.250 0.510
0.852 0.750 0.304
0.965 0.250 0.108
```

13.
Entry from Alexandria via LeMat-Bulk: an optimized crystal structure of Li2In8Hg (GGA-PBE).

As for the crystal system: monoclinic. The calculated density comes out at 6.680 g/cm³. As for the volume: 282 Å³ per cell. The calculation puts the formation enthalpy at 0 K at -3.3 kJ per mole of atoms. The calculation puts the energy above the most stable polymorph in this dataset at 0.024 eV/atom.

```
Li2In8Hg
1.0
6.620 -3.717 0.000
6.620 3.717 0.000
-1.434 0.000 5.723
Li In Hg
2 8 1
Direct
0.218 0.218 0.273
0.782 0.782 0.727
0.185 0.185 0.766
0.187 0.610 0.605
0.390 0.813 0.395
0.401 0.401 0.110
0.599 0.599 0.890
0.610 0.187 0.605
0.813 0.390 0.395
0.815 0.815 0.234
0.000 0.000 0.000
```

14.
Entry from Alexandria via LeMat-Bulk: an optimized crystal structure of LiIn4Hg (GGA-PBE).

As for the crystal system: orthorhombic. The calculated density comes out at 7.160 g/cm³. As for the volume: 309 Å³ per cell. The calculation puts the formation enthalpy at 0 K at -5.0 kJ per mole of atoms. The calculation puts the energy above the most stable polymorph in this dataset at 0.023 eV/atom.

```
LiIn4Hg
1.0
2.495 -10.939 0.000
2.495 10.939 0.000
0.000 0.000 5.666
Li In Hg
2 8 2
Direct
0.103 0.897 0.500
0.897 0.103 0.000
0.039 0.961 0.006
0.175 0.825 0.980
0.239 0.761 0.488
0.460 0.540 0.173
0.540 0.460 0.673
0.761 0.239 0.988
0.825 0.175 0.480
0.961 0.039 0.506
0.352 0.648 0.843
0.648 0.352 0.343
```

15.
Entry from Alexandria via LeMat-Bulk: an optimized crystal structure of LiIn2Hg7 (GGA-PBE).

As for the crystal system: monoclinic. The calculated density comes out at 10.771 g/cm³. As for the volume: 506 Å³ per cell. The calculation puts the formation enthalpy at 0 K at -5.9 kJ per mole of atoms. The calculation puts the energy above the most stable polymorph in this dataset at 0.000 eV/atom.

```
LiIn2Hg7
1.0
8.243 -3.329 0.000
8.243 3.329 0.000
-4.815 0.000 9.218
Li In Hg
2 4 14
Direct
0.107 0.893 0.750
0.893 0.107 0.250
0.216 0.384 0.678
0.384 0.216 0.178
0.616 0.784 0.822
0.784 0.616 0.322
0.067 0.761 0.950
0.091 0.280 0.857
0.224 0.557 0.473
0.239 0.933 0.550
0.280 0.091 0.357
0.391 0.609 0.250
0.443 0.776 0.027
0.557 0.224 0.973
0.609 0.391 0.750
0.720 0.909 0.643
0.761 0.067 0.450
0.776 0.443 0.527
0.909 0.720 0.143
0.933 0.239 0.050
```

16.
Entry from Alexandria via LeMat-Bulk: an optimized crystal structure of LiInHg (GGA-PBE).

As for the crystal system: cubic. The calculated density comes out at 7.217 g/cm³. As for the volume: 74 Å³ per cell. The calculation puts the formation enthalpy at 0 K at -14.2 kJ per mole of atoms. The calculation puts the energy above the most stable polymorph in this dataset at 0.082 eV/atom.

```
LiInHg
1.0
0.000 3.335 3.335
3.335 0.000 3.335
3.335 3.335 0.000
Li In Hg
1 1 1
Direct
0.000 0.000 0.000
0.500 0.500 0.500
0.750 0.750 0.750
```

17.
Entry from Alexandria via LeMat-Bulk: an optimized crystal structure of LiIn8Hg6 (GGA-PBE).

As for the crystal system: trigonal. The calculated density comes out at 8.524 g/cm³. As for the volume: 415 Å³ per cell. The calculation puts the formation enthalpy at 0 K at -0.7 kJ per mole of atoms.

```
LiIn8Hg6
1.0
4.251 2.454 6.626
-4.251 2.454 6.626
0.000 -4.908 6.626
Li In Hg
1 8 6
Direct
0.000 0.000 0.000
0.123 0.453 0.773
0.227 0.877 0.547
0.335 0.335 0.335
0.453 0.773 0.123
0.547 0.227 0.877
0.665 0.665 0.665
0.773 0.123 0.453
0.877 0.547 0.227
0.053 0.745 0.384
0.255 0.616 0.947
0.384 0.053 0.745
0.616 0.947 0.255
0.745 0.384 0.053
0.947 0.255 0.616
```

18.
Entry from Alexandria via LeMat-Bulk: an optimized crystal structure of LiIn2Hg2 (GGA-PBE).

As for the crystal system: tetragonal. The calculated density comes out at 7.911 g/cm³. As for the volume: 134 Å³ per cell. The calculation puts the formation enthalpy at 0 K at -1.2 kJ per mole of atoms. The calculation puts the energy above the most stable polymorph in this dataset at 0.105 eV/atom.

```
LiIn2Hg2
1.0
-2.175 2.175 7.075
2.175 -2.175 7.075
2.175 2.175 -7.075
Li In Hg
1 2 2
Direct
0.000 0.000 0.000
0.250 0.750 0.500
0.750 0.250 0.500
0.402 0.402 0.000
0.598 0.598 0.000
```

19.
Entry from Alexandria via LeMat-Bulk: an optimized crystal structure of Li2In8Hg (GGA-PBE).

As for the crystal system: monoclinic. The calculated density comes out at 6.865 g/cm³. As for the volume: 274 Å³ per cell. The calculation puts the formation enthalpy at 0 K at -5.6 kJ per mole of atoms. The calculation puts the energy above the most stable polymorph in this dataset at 0.000 eV/atom.

```
Li2In8Hg
1.0
9.399 -2.323 0.000
9.399 2.323 0.000
-1.557 0.000 6.276
Li In Hg
2 8 1
Direct
0.197 0.197 0.218
0.803 0.803 0.782
0.037 0.037 0.241
0.200 0.200 0.769
0.340 0.340 0.552
0.388 0.388 0.061
0.612 0.612 0.939
0.660 0.660 0.448
0.800 0.800 0.231
0.963 0.963 0.759
0.500 0.500 0.500
```

20.
Entry from Alexandria via LeMat-Bulk: an optimized crystal structure of Li2In4Hg (GGA-PBE).

As for the crystal system: tetragonal. The calculated density comes out at 6.877 g/cm³. As for the volume: 163 Å³ per cell. The calculation puts the formation enthalpy at 0 K at -13.3 kJ per mole of atoms. The calculation puts the energy above the most stable polymorph in this dataset at 0.003 eV/atom.

```
Li2In4Hg
1.0
-3.682 3.682 3.001
3.682 -3.682 3.001
3.682 3.682 -3.001
Li In Hg
2 4 1
Direct
0.250 0.750 0.500
0.750 0.250 0.500
0.203 0.203 0.407
0.203 0.797 0.000
0.797 0.203 0.000
0.797 0.797 0.593
0.500 0.500 0.000
```

21.
Entry from Alexandria via LeMat-Bulk: an optimized crystal structure of LiInHg (GGA-PBE).

As for the crystal system: orthorhombic. The calculated density comes out at 7.496 g/cm³. As for the volume: 143 Å³ per cell. The calculation puts the formation enthalpy at 0 K at -12.9 kJ per mole of atoms. The calculation puts the energy above the most stable polymorph in this dataset at 0.095 eV/atom.

```
LiInHg
1.0
-1.575 2.930 7.736
1.575 -2.930 7.736
1.575 2.930 -7.736
Li In Hg
2 2 2
Direct
0.147 0.147 0.000
0.853 0.853 0.000
0.248 0.500 0.748
0.752 0.500 0.252
0.322 0.322 0.000
0.678 0.678 0.000
```